First-principles (PBE) data for SiAg3 after structural relaxation, as listed in Alexandria via LeMat-Bulk.

Results
ΔE_f (raw) = 0.21 eV per atom
N(E_F) = 0.366 states/eV per atom
volume = 69 Å³/f.u.

abc: 8.799 8.799 8.799
angles: 153.28 153.28 38.15
Sites, in units of the cell vectors:
Ag: 0.750 0.250 0.500
Ag: 0.876 0.876 0.000
Ag: 0.124 0.124 0.000
Ag: 0.000 0.500 0.500
Ag: 0.250 0.750 0.500
Ag: 0.500 0.000 0.500
Si: 0.372 0.372 0.000
Si: 0.628 0.628 0.000